(1)
First-principles (SCAN) data for a crystal of LiTc2F relaxed with PBEsol, as listed in Alexandria.

Summary:
Relative energy among the computed polymorphs: 0.000 eV per atom
Total magnetization: 0.00 μB per formula unit
Symmetry: I-42d (122)

Lattice parameters (Å, degrees): 3.6582 5.8266 5.8266 84.34 71.70 71.70
With the nearest neighbours (Å) after each atom.
Element x y z (fractional)
Tc 0.8750 0.4165 0.0835  2 Tc 2.25, 2 F 2.39
Tc 0.0415 0.0835 0.5835  2 Tc 2.25, 2 F 2.39
Tc 0.3750 0.5835 0.9165  2 Tc 2.25, 2 F 2.39
Tc 0.7085 0.9165 0.4165  2 Tc 2.25, 2 F 2.39
Li 0.2500 0.5000 0.5000  2 F 1.83
Li 0.5000 0.0000 0.0000  2 F 1.83
F 0.0000 0.0000 0.0000  2 Li 1.83
F 0.7500 0.5000 0.5000  2 Li 1.83

(2)
First-principles (SCAN) data for a crystal of LiTcF2 relaxed with PBEsol, as listed in Alexandria.

Summary:
Relative energy among the computed polymorphs: 0.000 eV per atom
Total magnetization: 2.01 μB per formula unit
Symmetry: I-42d (122)

Lattice parameters (Å, degrees): 4.7564 5.2769 4.7564 63.21 90.00 116.79
With the nearest neighbours (Å) after each atom.
Element x y z (fractional)
Li 0.2500 0.5000 0.2500  4 F 1.77
Li 0.5000 0.0000 0.5000  4 F 1.77
Tc 0.0000 0.0000 0.0000  4 F 2.21
Tc 0.7500 0.5000 0.7500  4 F 2.21
F 0.2029 0.7500 0.8750  2 Li 1.77
F 0.3750 0.2500 0.2029  2 Li 1.77
F 0.5471 0.7500 0.3750  2 Li 1.77
F 0.8750 0.2500 0.5471  2 Li 1.77

(3)
First-principles (SCAN) data for a crystal of Li2TcWF relaxed with PBEsol, as listed in Alexandria.

Summary:
Raw total energy: -23.01 eV per atom
Total magnetization: 0.00 μB per formula unit
Symmetry: P4/mmm (123)

Lattice parameters (Å, degrees): 3.5475 3.5475 5.2264 90.00 90.00 90.00
With the nearest neighbours (Å) after each atom.
Element x y z (fractional)
W 0.5000 0.5000 0.5000  4 Tc 2.51
F 0.0000 0.0000 0.0000  4 Li 1.77
Li 0.5000 0.0000 0.0000  2 F 1.77
Li 0.0000 0.5000 0.0000  2 F 1.77
Tc 0.0000 0.0000 0.5000  4 W 2.51, 2 F 2.61

(4)
First-principles (SCAN) data for a crystal of LiTeF2 relaxed with PBEsol, as listed in Alexandria.

Summary:
Raw total energy: -13.22 eV per atom
Total magnetization: 0.00 μB per formula unit
Symmetry: R-3m (166)

Lattice parameters (Å, degrees): 3.1651 3.1651 7.6954 78.13 78.13 60.00
With the nearest neighbours (Å) after each atom.
Element x y z (fractional)
F 0.0752 0.0752 0.7743  1 Li 1.69
F 0.9248 0.9248 0.2257  1 Li 1.69
Li 0.0000 0.0000 0.0000  2 F 1.69
Te 0.5000 0.5000 0.5000  6 F 2.75

(5)
First-principles (SCAN) data for a crystal of LiTi3F relaxed with PBEsol, as listed in Alexandria.

Summary:
Raw total energy: -9.95 eV per atom
Total magnetization: 3.98 μB per formula unit
Symmetry: Pm-3m (221)

Lattice parameters (Å, degrees): 4.3951 4.3951 4.3951 90.00 90.00 90.00
With the nearest neighbours (Å) after each atom.
Element x y z (fractional)
Ti 0.0000 0.5000 0.0000  2 Li 2.20
Ti 0.5000 0.0000 0.0000  2 Li 2.20
Ti 0.0000 0.0000 0.5000  2 Li 2.20
F 0.5000 0.5000 0.5000  12 Ti 3.11
Li 0.0000 0.0000 0.0000  6 Ti 2.20

(6)
First-principles (SCAN) data for a crystal of LiTl2F relaxed with PBEsol, as listed in Alexandria.

Summary:
Raw total energy: -38.34 eV per atom
Total magnetization: 0.00 μB per formula unit
Symmetry: Fm-3m (225)

Lattice parameters (Å, degrees): 4.8320 4.8320 4.8320 60.00 60.00 60.00
With the nearest neighbours (Å) after each atom.
Element x y z (fractional)
Tl 0.7500 0.7500 0.7500  4 F 2.96, 4 Li 2.96
Tl 0.2500 0.2500 0.2500  4 Li 2.96, 4 F 2.96
Li 0.0000 0.0000 0.0000  8 Tl 2.96
F 0.5000 0.5000 0.5000  8 Tl 2.96

(7)
First-principles (SCAN) data for a crystal of Li3TlF6 relaxed with PBEsol, as listed in Alexandria.

Summary:
Raw total energy: -12.40 eV per atom
Total magnetization: 0.00 μB per formula unit
Symmetry: Fm-3m (225)

Lattice parameters (Å, degrees): 5.7488 5.7488 5.7488 60.00 60.00 60.00
With the nearest neighbours (Å) after each atom.
Element x y z (fractional)
Li 0.5000 0.5000 0.5000  6 F 1.93
Li 0.2500 0.2500 0.2500  12 F 2.88
Li 0.7500 0.7500 0.7500  12 F 2.88
F 0.2624 0.2624 0.7376  1 Li 1.93, 1 Tl 2.13
F 0.2624 0.7376 0.2624  1 Li 1.93, 1 Tl 2.13
F 0.7376 0.7376 0.2624  1 Li 1.93, 1 Tl 2.13
F 0.7376 0.2624 0.2624  1 Li 1.93, 1 Tl 2.13
F 0.7376 0.2624 0.7376  1 Li 1.93, 1 Tl 2.13
F 0.2624 0.7376 0.7376  1 Li 1.93, 1 Tl 2.13
Tl 0.0000 0.0000 0.0000  6 F 2.13

(8)
First-principles (SCAN) data for a crystal of Li2VF4 relaxed with PBEsol, as listed in Alexandria.

Summary:
Relative energy among the computed polymorphs: 0.011 eV per atom
Total magnetization: 3.00 μB per formula unit
Symmetry: P2/c (13)

Lattice parameters (Å, degrees): 3.1237 5.1421 9.4369 95.61 90.00 90.00
With the nearest neighbours (Å) after each atom.
Element x y z (fractional)
F 0.4977 0.3970 0.1320  2 Li 1.81
F 0.0017 0.1241 0.8754  2 Li 1.95, 2 V 2.10
F 0.5023 0.6030 0.8680  2 Li 1.81
F 0.9983 0.6241 0.3754  2 Li 1.95, 2 V 2.10
F 0.0017 0.3759 0.6246  2 Li 1.95, 2 V 2.10
F 0.5023 0.8970 0.6320  2 Li 1.81
F 0.4977 0.1030 0.3680  2 Li 1.81
F 0.9983 0.8759 0.1246  2 Li 1.95, 2 V 2.10
V 0.4982 0.7500 0.2500  6 F 2.03-2.10
V 0.5018 0.2500 0.7500  6 F 2.03-2.10
Li 0.9977 0.2631 0.4215  4 F 1.81-1.95
Li 0.0023 0.7631 0.9215  4 F 1.81-1.95
Li 0.0023 0.7369 0.5785  4 F 1.81-1.95
Li 0.9977 0.2369 0.0785  4 F 1.81-1.95

Q: Which formula does entry 5 have?
A: LiTi3F

Q: Which formula does entry 5 have?
A: LiTi3F

Q: total magnetization of number 2 (LiTcF2)?
A: 2.01 μB per formula unit

What did the fourth record say?
First-principles (SCAN) data for a crystal of LiTeF2 relaxed with PBEsol, as listed in Alexandria.

Summary:
Raw total energy: -13.22 eV per atom
Total magnetization: 0.00 μB per formula unit
Symmetry: R-3m (166)

Lattice parameters (Å, degrees): 3.1651 3.1651 7.6954 78.13 78.13 60.00
With the nearest neighbours (Å) after each atom.
Element x y z (fractional)
F 0.0752 0.0752 0.7743  1 Li 1.69
F 0.9248 0.9248 0.2257  1 Li 1.69
Li 0.0000 0.0000 0.0000  2 F 1.69
Te 0.5000 0.5000 0.5000  6 F 2.75